# Ca3Co5O12, optimized geometry, DFT PBE+U
data_Ca3Co5O12
_chemical_formula_sum 'Ca12 Co20 O48'
_space_group_name_H-M_alt 'P 1'
_space_group_IT_number 1
_space_group_name_Hall 'P 1'
_cell_length_a 10.6205
_cell_length_b 10.6205
_cell_length_c 10.6205
_cell_angle_alpha 109.47
_cell_angle_beta 109.47
_cell_angle_gamma 109.47
loop_
_atom_site_label
_atom_site_fract_x
_atom_site_fract_y
_atom_site_fract_z
Ca1 0.7500 0.3750 0.1250
Ca2 0.8750 0.7500 0.1250
Ca3 0.3750 0.7500 0.6250
Ca4 0.2500 0.1250 0.3750
Ca5 0.8750 0.1250 0.2500
Ca6 0.3750 0.6250 0.2500
Ca7 0.6250 0.3750 0.7500
Ca8 0.1250 0.8750 0.7500
Ca9 0.7500 0.8750 0.6250
Ca10 0.6250 0.2500 0.3750
Ca11 0.1250 0.2500 0.8750
Ca12 0.2500 0.6250 0.8750
Co1 0.1250 0.3750 0.2500
Co2 0.0000 0.5000 0.0000
Co3 0.0000 0.0000 0.0000
Co4 0.3750 0.2500 0.1250
Co5 0.5000 0.0000 0.5000
Co6 0.5000 0.5000 0.0000
Co7 0.1250 0.7500 0.3750
Co8 0.7500 0.1250 0.8750
Co9 0.7500 0.6250 0.3750
Co10 0.3750 0.1250 0.7500
Co11 0.6250 0.8750 0.2500
Co12 0.5000 0.5000 0.5000
Co13 0.5000 0.0000 0.0000
Co14 0.0000 0.0000 0.5000
Co15 0.2500 0.3750 0.6250
Co16 0.2500 0.8750 0.1250
Co17 0.0000 0.5000 0.5000
Co18 0.8750 0.2500 0.6250
Co19 0.6250 0.7500 0.8750
Co20 0.8750 0.6250 0.7500
O1 0.6936 0.1143 0.0161
O2 0.3225 0.5161 0.4018
O3 0.9839 0.3857 0.3064
O4 0.5161 0.1936 0.1143
O5 0.5794 0.6936 0.6775
O6 0.9839 0.5982 0.1775
O7 0.3225 0.8064 0.4206
O8 0.0982 0.9206 0.1143
O9 0.5982 0.9839 0.6775
O10 0.6936 0.5794 0.1775
O11 0.8064 0.4839 0.3857
O12 0.8225 0.9018 0.0161
O13 0.1143 0.6936 0.5161
O14 0.3857 0.4018 0.0794
O15 0.0794 0.9018 0.3857
O16 0.4206 0.1143 0.5982
O17 0.0794 0.1775 0.1936
O18 0.4839 0.6775 0.0982
O19 0.8225 0.9206 0.3064
O20 0.1143 0.4206 0.0982
O21 0.3857 0.9839 0.8064
O22 0.5982 0.6143 0.4206
O23 0.9018 0.8225 0.5161
O24 0.8064 0.3225 0.9206
O25 0.4018 0.3857 0.5794
O26 0.0982 0.1775 0.4839
O27 0.1936 0.6775 0.0794
O28 0.1775 0.0794 0.6936
O29 0.6143 0.0161 0.1936
O30 0.8857 0.5794 0.9018
O31 0.5161 0.3225 0.9018
O32 0.5794 0.8857 0.4018
O33 0.9206 0.8225 0.8064
O34 0.9206 0.0982 0.6143
O35 0.8857 0.3064 0.4839
O36 0.1775 0.0982 0.9839
O37 0.6143 0.5982 0.9206
O38 0.4018 0.0161 0.3225
O39 0.3064 0.4206 0.8225
O40 0.1936 0.5161 0.6143
O41 0.9018 0.0794 0.8857
O42 0.6775 0.1936 0.5794
O43 0.4839 0.8064 0.8857
O44 0.0161 0.4018 0.8225
O45 0.4206 0.3064 0.3225
O46 0.0161 0.6143 0.6936
O47 0.6775 0.4839 0.5982
O48 0.3064 0.8857 0.9839
# Total DFT energy (no corrections), eV for the cell shown: -482.99
# SG: No. 230